This record from Alexandria describes crystalline Na2SeS at its relaxed geometry. The functional is PBE-GGA.

abc: 7.905 7.905 6.231
angles: 50.63 50.63 90.00
Fractional coordinates of all 8 atoms:
Na 0.602 0.125 0.250
Na 0.148 0.625 0.250
Na 0.375 0.398 0.750
Na 0.875 0.852 0.750
S 0.500 0.500 0.000
S 0.250 0.750 0.500
Se 0.000 0.000 0.000
Se 0.750 0.250 0.500

## Properties
The formation energy from raw total energies comes out at -13.8 kcal/mol of atoms. As for the space-group type: I-42d. The crystal system is tetragonal.

This record from Alexandria describes crystalline Co2HgPb at its relaxed geometry. The functional is PBE-GGA.

abc: 3.210 5.381 5.445
angles: 48.00 90.00 90.00
Fractional coordinates of all 4 atoms:
Co 0.000 0.000 0.000
Co 0.500 0.500 0.000
Hg 0.500 0.500 0.500
Pb 0.000 0.000 0.500

## Properties
As for the space-group type: P2/m. The crystal system is monoclinic. As for the formation enthalpy at 0 K: 0.631 eV per atom.

Number 1: DFT total energy -3.16 eV/atom, energy relative to the lowest polymorph listed for this composition 164 meV/atom. Number 2: DFT total energy -3.92 eV/atom, energy relative to the lowest polymorph listed for this composition 278 meV/atom.